# AgAsPb4

Crystalline AgAsPb4 at its relaxed geometry (PBE-GGA, the Alexandria database).

Final energy, eV per atom: -3.233
SG: F-43m, No. 216
DFT formation energy, meV per atom: 489

Unit cell a=6.368 b=6.368 c=6.368 alpha=60.00 beta=60.00 gamma=60.00
Positions (direct):
Ag 0.750 0.750 0.750
As 0.000 0.000 0.000
Pb 0.375 0.874 0.375
Pb 0.874 0.375 0.375
Pb 0.375 0.375 0.874
Pb 0.375 0.375 0.375



# Ag2AsPb

Crystalline Ag2AsPb at its relaxed geometry (PBE-GGA, the Alexandria database).

Final energy, eV per atom: -3.310
SG: F-43m, No. 216
DFT formation energy, meV per atom: 205

Unit cell a=5.006 b=5.006 c=5.006 alpha=60.00 beta=60.00 gamma=60.00
Positions (direct):
Pb 0.750 0.750 0.750
As 0.500 0.500 0.500
Ag 0.000 0.000 0.000
Ag 0.250 0.250 0.250



# Ag2AsPb

Crystalline Ag2AsPb at its relaxed geometry (PBE-GGA, the Alexandria database).

Final energy, eV per atom: -3.363
SG: P4/mmm, No. 123
DFT formation energy, meV per atom: 152

Unit cell a=4.279 b=4.497 c=4.497 alpha=90.00 beta=90.00 gamma=90.00
Positions (direct):
Pb 0.500 0.500 0.500
As 0.500 0.000 0.000
Ag 0.000 0.000 0.500
Ag 0.000 0.500 0.000



# Ag2AsPb

Crystalline Ag2AsPb at its relaxed geometry (PBE-GGA, the Alexandria database).

Final energy, eV per atom: -3.365
SG: C2/m, No. 12
DFT formation energy, meV per atom: 150

Unit cell a=4.697 b=4.697 c=6.298 alpha=79.49 beta=79.49 gamma=40.53
Positions (direct):
Pb 0.250 0.250 0.250
As 0.750 0.750 0.750
Ag 0.008 0.008 0.955
Ag 0.492 0.492 0.545



# AgAsPb2

Crystalline AgAsPb2 at its relaxed geometry (PBE-GGA, the Alexandria database).

Final energy, eV per atom: -3.451
SG: F-43m, No. 216
DFT formation energy, meV per atom: 279

Unit cell a=5.243 b=5.243 c=5.243 alpha=60.00 beta=60.00 gamma=60.00
Positions (direct):
Pb 0.000 0.000 0.000
Pb 0.250 0.250 0.250
As 0.750 0.750 0.750
Ag 0.500 0.500 0.500



# AgAs2Pb

Crystalline AgAs2Pb at its relaxed geometry (PBE-GGA, the Alexandria database).

Final energy, eV per atom: -3.674
SG: P4/mmm, No. 123
DFT formation energy, meV per atom: 291

Unit cell a=4.482 b=4.474 c=4.488 alpha=90.00 beta=90.00 gamma=90.00
Positions (direct):
Pb 0.500 0.000 0.500
As 0.000 0.000 0.000
As 0.500 0.500 0.000
Ag 0.000 0.500 0.500



# AgAs2Pb

Crystalline AgAs2Pb at its relaxed geometry (PBE-GGA, the Alexandria database).

Final energy, eV per atom: -3.710
SG: P4/mmm, No. 123
DFT formation energy, meV per atom: 255

Unit cell a=3.124 b=3.124 c=9.142 alpha=90.00 beta=90.00 gamma=90.00
Positions (direct):
Pb 0.500 0.500 0.250
As 0.000 0.000 0.964
As 0.000 0.000 0.536
Ag 0.500 0.500 0.750



# Ag2AsPb

Crystalline Ag2AsPb at its relaxed geometry (PBE-GGA, the Alexandria database).

Final energy, eV per atom: -3.323
SG: Cmmm, No. 65
DFT formation energy, meV per atom: 192

Unit cell a=5.312 b=5.312 c=3.181 alpha=90.00 beta=90.00 gamma=106.32
Positions (direct):
Pb 0.000 0.500 0.500
As 0.500 0.000 0.500
Ag 0.000 0.000 0.000
Ag 0.500 0.500 0.000



# Ag2AsPb

Crystalline Ag2AsPb at its relaxed geometry (PBE-GGA, the Alexandria database).

Final energy, eV per atom: -3.333
SG: I-42d, No. 122
DFT formation energy, meV per atom: 182

Unit cell a=4.741 b=4.741 c=9.391 alpha=75.38 beta=75.38 gamma=90.00
Positions (direct):
Pb 0.000 0.000 0.000
Pb 0.750 0.250 0.500
As 0.500 0.500 0.000
As 0.250 0.750 0.500
Ag 0.545 0.125 0.250
Ag 0.205 0.625 0.250
Ag 0.375 0.455 0.750
Ag 0.875 0.795 0.750



# AgAsPb2

Crystalline AgAsPb2 at its relaxed geometry (PBE-GGA, the Alexandria database).

Final energy, eV per atom: -3.556
SG: I4/mmm, No. 139
DFT formation energy, meV per atom: 173

Unit cell a=5.410 b=5.410 c=5.410 alpha=125.39 beta=125.41 gamma=80.88
Positions (direct):
Pb 0.000 0.000 0.000
Pb 0.500 0.500 0.000
As 0.750 0.250 0.500
Ag 0.250 0.750 0.500



# AgAs2Pb

Crystalline AgAs2Pb at its relaxed geometry (PBE-GGA, the Alexandria database).

Final energy, eV per atom: -3.653
SG: I-4m2, No. 119
DFT formation energy, meV per atom: 311

Unit cell a=5.289 b=5.289 c=5.289 alpha=128.00 beta=128.00 gamma=76.63
Positions (direct):
Pb 0.500 0.500 0.000
As 0.000 0.000 0.000
As 0.250 0.750 0.500
Ag 0.750 0.250 0.500



# AgAs2Pb

Crystalline AgAs2Pb at its relaxed geometry (PBE-GGA, the Alexandria database).

Final energy, eV per atom: -3.688
SG: P2/m, No. 10
DFT formation energy, meV per atom: 277

Unit cell a=3.858 b=4.580 c=5.976 alpha=59.32 beta=90.00 gamma=90.00
Positions (direct):
Pb 0.500 0.500 0.500
As 0.000 0.000 0.000
As 0.500 0.500 0.000
Ag 0.000 0.000 0.500



# AgAsPb2

Crystalline AgAsPb2 at its relaxed geometry (PBE-GGA, the Alexandria database).

Final energy, eV per atom: -3.621
SG: C2/m, No. 12
DFT formation energy, meV per atom: 108

Unit cell a=4.091 b=4.091 c=7.794 alpha=74.98 beta=74.98 gamma=59.84
Positions (direct):
Pb 0.997 0.997 0.010
Pb 0.503 0.503 0.490
As 0.250 0.250 0.250
Ag 0.750 0.750 0.750



# Ag2AsPb

Crystalline Ag2AsPb at its relaxed geometry (PBE-GGA, the Alexandria database).

Final energy, eV per atom: -3.285
SG: C2/m, No. 12
DFT formation energy, meV per atom: 230

Unit cell a=5.583 b=5.840 c=3.217 alpha=75.58 beta=86.84 gamma=117.57
Positions (direct):
Pb 0.500 0.500 0.000
As 0.000 0.500 0.500
Ag 0.000 0.000 0.000
Ag 0.500 0.000 0.500



# AgAsPb2

Crystalline AgAsPb2 at its relaxed geometry (PBE-GGA, the Alexandria database).

Final energy, eV per atom: -3.494
SG: R-3m, No. 166
DFT formation energy, meV per atom: 236

Unit cell a=9.996 b=9.996 c=9.996 alpha=19.97 beta=19.97 gamma=19.97
Positions (direct):
Pb 0.002 0.002 0.002
Pb 0.498 0.498 0.498
As 0.250 0.250 0.250
Ag 0.750 0.750 0.750



# AgAs2Pb

Crystalline AgAs2Pb at its relaxed geometry (PBE-GGA, the Alexandria database).

Final energy, eV per atom: -3.797
SG: P4mm, No. 99
DFT formation energy, meV per atom: 168

Unit cell a=3.516 b=3.516 c=7.441 alpha=90.00 beta=90.00 gamma=90.00
Positions (direct):
Pb 0.000 0.000 0.532
As 0.000 0.000 0.022
As 0.500 0.500 0.164
Ag 0.500 0.500 0.782



# AgAsPbS3

Crystalline AgAsPbS3 at its relaxed geometry (PBE-GGA, the Alexandria database).

Energy relative to the elements, uncorrected, eV per atom: -0.257
Final energy, eV per atom: -4.189
Relative energy among the computed polymorphs, eV per atom: 0.000
SG: P2_1/c, No. 14

Unit cell a=12.716 b=6.014 c=7.726 alpha=87.54 beta=90.00 gamma=90.00
Positions (direct):
Ag 0.765 0.254 0.390
Ag 0.735 0.254 0.890
Ag 0.265 0.746 0.110
Ag 0.235 0.746 0.610
As 0.898 0.777 0.667
As 0.102 0.223 0.333
As 0.602 0.777 0.167
As 0.398 0.223 0.833
Pb 0.576 0.736 0.663
Pb 0.076 0.264 0.837
Pb 0.424 0.264 0.337
Pb 0.924 0.736 0.163
S 0.452 0.758 0.341
S 0.952 0.242 0.159
S 0.548 0.242 0.659
S 0.048 0.758 0.841
S 0.132 0.847 0.341
S 0.632 0.153 0.159
S 0.868 0.153 0.659
S 0.776 0.680 0.875
S 0.724 0.680 0.375
S 0.224 0.320 0.125
S 0.276 0.320 0.625
S 0.368 0.847 0.841



# AgAsPbS3

Crystalline AgAsPbS3 at its relaxed geometry (PBE-GGA, the Alexandria database).

Energy relative to the elements, uncorrected, eV per atom: -0.176
Final energy, eV per atom: -4.108
Relative energy among the computed polymorphs, eV per atom: 0.081
SG: P2_1/m, No. 11

Unit cell a=3.795 b=8.582 c=9.294 alpha=98.66 beta=90.00 gamma=90.00
Positions (direct):
Ag 0.250 0.093 0.598
Ag 0.750 0.907 0.402
As 0.250 0.659 0.117
As 0.750 0.341 0.883
Pb 0.250 0.179 0.245
Pb 0.750 0.821 0.755
S 0.750 0.849 0.125
S 0.250 0.151 0.875
S 0.250 0.766 0.535
S 0.750 0.234 0.465
S 0.750 0.415 0.129
S 0.250 0.585 0.871



# AgAs2PbSe

Crystalline AgAs2PbSe at its relaxed geometry (PBE-GGA, the Alexandria database).

Energy relative to the elements, uncorrected, eV per atom: 0.543
Final energy, eV per atom: -3.326
Relative energy among the computed polymorphs, eV per atom: 0.000
SG: P4/mmm, No. 123

Unit cell a=5.067 b=5.067 c=5.369 alpha=90.00 beta=90.00 gamma=90.00
Positions (direct):
Pb 0.500 0.500 0.500
As 0.000 0.500 0.000
As 0.500 0.000 0.000
Se 0.000 0.000 0.500
Ag 0.000 0.000 0.000



# SiAg2AsPb

Crystalline SiAg2AsPb at its relaxed geometry (PBE-GGA, the Alexandria database).

Energy relative to the elements, uncorrected, eV per atom: 0.387
Final energy, eV per atom: -3.510
SG: P4/mmm, No. 123

Unit cell a=4.874 b=4.997 c=4.874 alpha=90.00 beta=90.00 gamma=90.00
Positions (direct):
Pb 0.500 0.500 0.500
As 0.000 0.500 0.000
Si 0.000 0.000 0.000
Ag 0.000 0.000 0.500
Ag 0.500 0.000 0.000